(1)
Compound: CaBPbAu2
Source: the Alexandria database
Functional: PBE-GGA
Structure: relaxed

The structure belongs to space group P4/mmm (No. 123); the cell edges are 5.514, 5.514 and 6.663 Å and the angles 90.00°, 90.00° and 90.00°. The distinct sites, in fractional coordinates, are Ca at (0.000, 0.000, 0.000), B at (0.500, 0.500, 0.000), Pb at (0.000, 0.000, 0.500) and Au at (0.000, 0.500, 0.500).

For the formation energy, the calculation gives 1.29 eV/atom. Its crystal system is tetragonal. The density of states at the Fermi level is 5.41 states/eV/f.u. Its total magnetic moment is 1.15 μB per formula unit.

(2)
Compound: Ca2B2Pd5Au
Source: the Alexandria database
Functional: PBE-GGA
Structure: relaxed

The structure belongs to space group P4/mbm (No. 127); the cell edges are 9.739, 9.739 and 3.280 Å and the angles 90.00°, 90.00° and 90.00°. The distinct sites, in fractional coordinates, are Ca at (0.177, 0.323, 0.000), B at (0.122, 0.622, 0.000), Pd at (0.000, 0.500, 0.500), Pd at (0.071, 0.774, 0.500) and Au at (0.000, 0.000, 0.000).

For the formation energy, the calculation gives -0.47 eV/atom. Its crystal system is tetragonal. The density of states at the Fermi level is 1.94 states/eV/f.u. Its total magnetic moment is 0.00 μB per formula unit.